Record 1
Entry from Alexandria via LeMat-Bulk: IrOsPbSe2 after structural relaxation (PBE).

Lattice parameters (Å, degrees): 4.9967 4.9967 4.8095 90.00 90.00 90.00
Closest atoms and distances in Å follow each position.
Atoms (fractional coordinates):
1 Ir 0.0000 0.0000 0.0000  2 Os 2.40, 4 Se 2.50
2 Os 0.0000 0.0000 0.5000  2 Ir 2.40
3 Pb 0.5000 0.5000 0.5000  8 Se 3.47, 4 Os 3.53
4 Se 0.0000 0.5000 0.0000  2 Ir 2.50
5 Se 0.5000 0.0000 0.0000  2 Ir 2.50

Properties
Formation energy from raw total energies, eV/atom: 0.92
Symmetry: P4/mmm

=====

Record 2
Entry from Alexandria via LeMat-Bulk: TlIrOsPb2 after structural relaxation (PBE).

Lattice parameters (Å, degrees): 5.2272 5.2272 5.1892 90.00 90.00 90.00
Closest atoms and distances in Å follow each position.
Atoms (fractional coordinates):
1 Tl 0.0000 0.0000 0.0000  2 Ir 2.59
2 Ir 0.0000 0.0000 0.5000  2 Tl 2.59, 4 Pb 2.61
3 Os 0.5000 0.5000 0.0000  8 Pb 3.68, 4 Tl 3.70
4 Pb 0.0000 0.5000 0.5000  2 Ir 2.61
5 Pb 0.5000 0.0000 0.5000  2 Ir 2.61

Properties
Formation energy from the elements, meV/atom: 1308
Symmetry: P4/mmm

=====

Record 3
Entry from Alexandria via LeMat-Bulk: VIr2OsPb after structural relaxation (PBE).

Lattice parameters (Å, degrees): 4.8325 4.8325 4.7810 90.00 90.00 90.00
Closest atoms and distances in Å follow each position.
Atoms (fractional coordinates):
1 V 0.0000 0.0000 0.0000  2 Pb 2.39
2 Ir 0.0000 0.5000 0.5000  2 Pb 2.42
3 Ir 0.5000 0.0000 0.5000  2 Pb 2.42
4 Os 0.5000 0.5000 0.0000  8 Ir 3.40, 4 V 3.42
5 Pb 0.0000 0.0000 0.5000  2 V 2.39, 4 Ir 2.42

Properties
Formation energy from the elements, meV/atom: 2855
Symmetry: P4/mmm

=====

no.,total magnetic moment (μB/f.u.),E (eV/atom)
1,0.97,-5.23
2,2.08,-4.67
3,0.00,-5.50